Entry 1:
# LaBIr PBE relaxed
data_LaBIr
_chemical_formula_sum 'La1 B1 Ir1'
_symmetry_space_group_name_H-M 'P 1'
_symmetry_Int_Tables_number 1
_cell_length_a 4.628
_cell_length_b 3.711
_cell_length_c 3.711
_cell_angle_alpha 120.00
_cell_angle_beta 90.00
_cell_angle_gamma 90.00
loop_
_symmetry_equiv_pos_as_xyz
'x,y,z'
loop_
_atom_site_label
_atom_site_fract_x
_atom_site_fract_y
_atom_site_fract_z
_atom_site_occupancy
B1 0.167 0.667 0.333 1
Ir1 0.167 0.000 0.000 1
La1 0.667 0.333 0.667 1
# Space group: No. 187
# ΔE to the lowest computed polymorph, meV per atom: 0.0
# ΔE_f, eV/atom: -0.54
# Volume, Å³ per cell: 55


Entry 2:
# CuIr3F PBE relaxed
data_CuIr3F
_chemical_formula_sum 'Cu1 Ir3 F1'
_symmetry_space_group_name_H-M 'P 1'
_symmetry_Int_Tables_number 1
_cell_length_a 4.223
_cell_length_b 4.223
_cell_length_c 4.223
_cell_angle_alpha 90.00
_cell_angle_beta 90.00
_cell_angle_gamma 90.00
loop_
_symmetry_equiv_pos_as_xyz
'x,y,z'
loop_
_atom_site_label
_atom_site_fract_x
_atom_site_fract_y
_atom_site_fract_z
_atom_site_occupancy
Ir1 0.000 0.500 0.000 1
Ir2 0.000 0.000 0.500 1
Ir3 0.500 0.000 0.000 1
Cu1 0.500 0.500 0.500 1
F1 0.000 0.000 0.000 1
# Raw formation energy, eV/atom: 1.436
# Space group: No. 221
# Volume, Å³ per cell: 75


Entry 3:
# Li2BeIr PBE relaxed
data_Li2BeIr
_chemical_formula_sum 'Li4 Be2 Ir2'
_symmetry_space_group_name_H-M 'P 1'
_symmetry_Int_Tables_number 1
_cell_length_a 3.261
_cell_length_b 3.261
_cell_length_c 9.407
_cell_angle_alpha 80.02
_cell_angle_beta 80.02
_cell_angle_gamma 90.00
loop_
_symmetry_equiv_pos_as_xyz
'x,y,z'
loop_
_atom_site_label
_atom_site_fract_x
_atom_site_fract_y
_atom_site_fract_z
_atom_site_occupancy
Be1 0.500 0.500 0.000 1
Be2 0.250 0.750 0.500 1
Ir1 0.000 0.000 0.000 1
Ir2 0.750 0.250 0.500 1
Li1 0.618 0.125 0.250 1
Li2 0.132 0.625 0.250 1
Li3 0.375 0.382 0.750 1
Li4 0.875 0.868 0.750 1
# Space group: No. 122
# ΔE_f, eV/atom: -0.06
# Volume, Å³ per cell: 97


Entry 4:
# Y3ErSc2 PBE relaxed
data_Y3ErSc2
_chemical_formula_sum 'Y6 Er2 Sc4'
_symmetry_space_group_name_H-M 'P 1'
_symmetry_Int_Tables_number 1
_cell_length_a 5.433
_cell_length_b 8.685
_cell_length_c 8.685
_cell_angle_alpha 112.10
_cell_angle_beta 90.00
_cell_angle_gamma 90.00
loop_
_symmetry_equiv_pos_as_xyz
'x,y,z'
loop_
_atom_site_label
_atom_site_fract_x
_atom_site_fract_y
_atom_site_fract_z
_atom_site_occupancy
Y1 0.993 0.888 0.377 1
Y2 0.493 0.623 0.112 1
Y3 0.993 0.377 0.888 1
Y4 0.493 0.112 0.623 1
Y5 0.493 0.905 0.905 1
Y6 0.993 0.095 0.095 1
Er1 0.993 0.718 0.718 1
Er2 0.493 0.282 0.282 1
Sc1 0.493 0.700 0.490 1
Sc2 0.993 0.510 0.300 1
Sc3 0.493 0.490 0.700 1
Sc4 0.993 0.300 0.510 1
# Space group: No. 63
# ΔE to the lowest computed polymorph, meV per atom: 183.9
# ΔE_f, eV/atom: 0.30
# Volume, Å³ per cell: 380


Question: Which of these has the lowest volume?
Answer: LaBIr


Question: Which value of volume does entry 2 give?
Answer: 75 Å³ per cell


Question: The highest volume belongs to which entry?
Answer: Y3ErSc2